KTcSb4 | PBE-GGA | relaxed

Calculated values
Total magnetic moment   4.54 μB/f.u.
Crystal system   cubic
Total energy   -4.033 eV per atom

Cell: 6.3144 6.3144 6.3144 Å, 60.00 60.00 60.00°
Element x y z (fractional)
K  0.0000  0.0000  0.0000
Tc  0.2500  0.2500  0.2500
Sb  0.1283  0.6239  0.6239
Sb  0.6239  0.1283  0.6239
Sb  0.6239  0.6239  0.1283
Sb  0.6239  0.6239  0.6239

K3TcSb | PBE-GGA | relaxed

Calculated values
Total magnetic moment   5.00 μB/f.u.
Crystal system   cubic
Total energy   -2.579 eV per atom

Cell: 6.6772 6.6772 6.6772 Å, 90.00 90.00 90.00°
Element x y z (fractional)
K  0.0000  0.0000  0.5000
K  0.0000  0.5000  0.0000
K  0.5000  0.0000  0.0000
Tc  0.5000  0.5000  0.5000
Sb  0.0000  0.0000  0.0000

KTc4Sb | PBE-GGA | relaxed

Calculated values
Total magnetic moment   0.00 μB/f.u.
Crystal system   cubic
Total energy   -6.956 eV per atom

Cell: 5.3578 5.3578 5.3578 Å, 60.00 60.00 60.00°
Element x y z (fractional)
K  0.0000  0.0000  0.0000
Tc  0.3766  0.3766  0.3766
Tc  0.3766  0.3766  0.8703
Tc  0.3766  0.8703  0.3766
Tc  0.8703  0.3766  0.3766
Sb  0.7500  0.7500  0.7500

K2TcSb | PBE-GGA | relaxed

Calculated values
Total magnetic moment   2.86 μB/f.u.
Crystal system   tetragonal
Total energy   -3.493 eV per atom

Cell: 4.3645 4.3645 11.4136 Å, 90.00 90.00 90.00°
Element x y z (fractional)
K  0.0000  0.5000  0.2500
K  0.0000  0.5000  0.7500
K  0.5000  0.0000  0.2500
K  0.5000  0.0000  0.7500
Tc  0.0000  0.0000  0.0000
Tc  0.5000  0.5000  0.5000
Sb  0.0000  0.0000  0.5000
Sb  0.5000  0.5000  0.0000

K2TcSb | PBE-GGA | relaxed

Calculated values
Total magnetic moment   0.00 μB/f.u.
Crystal system   monoclinic
Total energy   -3.838 eV per atom

Cell: 7.9145 4.4779 9.5423 Å, 90.00 105.48 90.00°
Element x y z (fractional)
K  0.0000  0.0000  0.0000
K  0.1733  0.0000  0.5386
K  0.5000  0.5000  0.0000
K  0.6733  0.5000  0.5386
Tc  0.2506  0.5000  0.2695
Tc  0.7506  0.0000  0.2695
Sb  0.4203  0.0000  0.2691
Sb  0.9203  0.5000  0.2691

KTcSb3 | PBE-GGA | relaxed

Calculated values
Total magnetic moment   0.00 μB/f.u.
Crystal system   cubic
Total energy   -2.494 eV per atom

Cell: 5.4969 5.4969 5.4969 Å, 90.00 90.00 90.00°
Element x y z (fractional)
K  0.0000  0.0000  0.0000
Tc  0.5000  0.5000  0.5000
Sb  0.0000  0.0000  0.5000
Sb  0.0000  0.5000  0.0000
Sb  0.5000  0.0000  0.0000

K2TcSb | PBE-GGA | relaxed

Calculated values
Total magnetic moment   2.06 μB/f.u.
Crystal system   orthorhombic
Total energy   -3.670 eV per atom

Cell: 4.2858 5.9769 11.1484 Å, 90.00 90.00 90.00°
Element x y z (fractional)
K  0.0000  0.0000  0.0000
K  0.0000  0.5000  0.2005
K  0.5000  0.0000  0.7005
K  0.5000  0.5000  0.5000
Tc  0.0000  0.0000  0.4051
Tc  0.5000  0.5000  0.9051
Sb  0.0000  0.5000  0.7782
Sb  0.5000  0.0000  0.2782

KTcSb | PBE-GGA | relaxed

Calculated values
Total magnetic moment   2.54 μB/f.u.
Crystal system   hexagonal
Total energy   -4.406 eV per atom

Cell: 5.0607 5.0607 3.3033 Å, 90.00 90.00 120.00°
Element x y z (fractional)
K  0.0000  0.0000  0.0000
Tc  0.3333  0.6667  0.5000
Sb  0.6667  0.3333  0.5000

K2TcSb | PBE-GGA | relaxed

Calculated values
Total magnetic moment   2.34 μB/f.u.
Crystal system   trigonal
Total energy   -3.216 eV per atom

Cell: 3.2868 3.2868 35.5462 Å, 90.00 90.00 120.00°
Element x y z (fractional)
K  0.0000  0.0000  0.2489
K  0.0000  0.0000  0.7511
K  0.3333  0.6667  0.4178
K  0.3333  0.6667  0.9156
K  0.6667  0.3333  0.0844
K  0.6667  0.3333  0.5822
Tc  0.0000  0.0000  0.5000
Tc  0.3333  0.6667  0.1667
Tc  0.6667  0.3333  0.8333
Sb  0.0000  0.0000  0.0000
Sb  0.3333  0.6667  0.6667
Sb  0.6667  0.3333  0.3333

K2TcSb | PBE-GGA | relaxed

Calculated values
Total magnetic moment   2.57 μB/f.u.
Crystal system   monoclinic
Total energy   -3.432 eV per atom

Cell: 3.3441 5.6414 5.8632 Å, 90.00 90.33 90.00°
Element x y z (fractional)
K  0.0044  0.0000  0.2516
K  0.9956  0.0000  0.7484
Tc  0.5000  0.5000  0.5000
Sb  0.5000  0.5000  0.0000

K2TcSb | PBE-GGA | relaxed

Calculated values
Total magnetic moment   2.90 μB/f.u.
Crystal system   monoclinic
Total energy   -3.425 eV per atom

Cell: 5.9105 11.2359 3.3808 Å, 90.00 90.38 90.00°
Element x y z (fractional)
K  0.2500  0.2500  0.0000
K  0.2500  0.7500  0.0000
K  0.7500  0.2500  0.0000
K  0.7500  0.7500  0.0000
Tc  0.0000  0.0000  0.5000
Tc  0.5000  0.5000  0.5000
Sb  0.0000  0.5000  0.5000
Sb  0.5000  0.0000  0.5000

KTc2Sb2 | PBE-GGA | relaxed

Calculated values
Total magnetic moment   0.71 μB/f.u.
Crystal system   tetragonal
Total energy   -6.023 eV per atom

Cell: 3.9296 3.9296 16.7831 Å, 90.00 90.00 90.00°
Element x y z (fractional)
K  0.0000  0.0000  0.0000
K  0.5000  0.5000  0.5000
Tc  0.0000  0.5000  0.2500
Tc  0.0000  0.5000  0.7500
Tc  0.5000  0.0000  0.2500
Tc  0.5000  0.0000  0.7500
Sb  0.0000  0.0000  0.3607
Sb  0.0000  0.0000  0.6393
Sb  0.5000  0.5000  0.1393
Sb  0.5000  0.5000  0.8607

K2TcSb | PBE-GGA | relaxed

Calculated values
Total magnetic moment   0.33 μB/f.u.
Crystal system   tetragonal
Total energy   -3.860 eV per atom

Cell: 3.5853 3.5853 10.3523 Å, 90.00 90.00 90.00°
Element x y z (fractional)
K  0.0000  0.0000  0.0000
K  0.5000  0.5000  0.4161
Tc  0.5000  0.5000  0.7561
Sb  0.0000  0.0000  0.6637

K2TcSb | PBE-GGA | relaxed

Calculated values
Total magnetic moment   3.83 μB/f.u.
Crystal system   cubic
Total energy   -3.461 eV per atom

Cell: 7.6681 7.6681 7.6681 Å, 90.00 90.00 90.00°
Element x y z (fractional)
K  0.0000  0.0000  0.0000
K  0.0000  0.5000  0.5000
K  0.2500  0.2500  0.2500
K  0.2500  0.7500  0.7500
K  0.5000  0.0000  0.5000
K  0.5000  0.5000  0.0000
K  0.7500  0.2500  0.7500
K  0.7500  0.7500  0.2500
Tc  0.2500  0.2500  0.7500
Tc  0.2500  0.7500  0.2500
Tc  0.7500  0.2500  0.2500
Tc  0.7500  0.7500  0.7500
Sb  0.0000  0.0000  0.5000
Sb  0.0000  0.5000  0.0000
Sb  0.5000  0.0000  0.0000
Sb  0.5000  0.5000  0.5000

K2TcSb | PBE-GGA | relaxed

Calculated values
Total magnetic moment   3.14 μB/f.u.
Crystal system   orthorhombic
Total energy   -3.498 eV per atom

Cell: 4.4007 4.4122 5.6862 Å, 90.00 90.00 90.00°
Element x y z (fractional)
K  0.0000  0.0000  0.0000
K  0.5000  0.5000  0.0000
Tc  0.0000  0.5000  0.5000
Sb  0.5000  0.0000  0.5000

KTcSb | PBE-GGA | relaxed

Calculated values
Total magnetic moment   0.11 μB/f.u.
Crystal system   trigonal
Total energy   -4.624 eV per atom

Cell: 3.4325 3.4325 7.5832 Å, 90.00 90.00 120.00°
Element x y z (fractional)
K  0.0000  0.0000  0.0000
Tc  0.3333  0.6667  0.6280
Sb  0.6667  0.3333  0.4012

K2TcSb | PBE-GGA | relaxed

Calculated values
Total magnetic moment   2.05 μB/f.u.
Crystal system   tetragonal
Total energy   -3.589 eV per atom

Cell: 13.1563 13.1563 5.1096 Å, 90.00 90.00 90.00°
Element x y z (fractional)
K  0.0033  0.7500  0.1250
K  0.2500  0.0033  0.8750
K  0.2500  0.4967  0.3750
K  0.4967  0.7500  0.6250
K  0.5033  0.2500  0.6250
K  0.7500  0.5033  0.3750
K  0.7500  0.9967  0.8750
K  0.9967  0.2500  0.1250
Tc  0.0000  0.0000  0.0000
Tc  0.0000  0.5000  0.2500
Tc  0.5000  0.0000  0.7500
Tc  0.5000  0.5000  0.5000
Sb  0.0000  0.0000  0.5000
Sb  0.0000  0.5000  0.7500
Sb  0.5000  0.0000  0.2500
Sb  0.5000  0.5000  0.0000

K2TcSb | PBE-GGA | relaxed

Calculated values
Total magnetic moment   0.03 μB/f.u.
Crystal system   tetragonal
Total energy   -3.370 eV per atom

Cell: 3.0044 3.0044 11.4820 Å, 90.00 90.00 90.00°
Element x y z (fractional)
K  0.0000  0.0000  0.2429
K  0.0000  0.0000  0.7571
Tc  0.5000  0.5000  0.0000
Sb  0.5000  0.5000  0.5000

KTcSb | PBE-GGA | relaxed

Calculated values
Total magnetic moment   0.81 μB/f.u.
Crystal system   tetragonal
Total energy   -4.817 eV per atom

Cell: 3.5126 3.5126 12.8691 Å, 90.00 90.00 90.00°
Element x y z (fractional)
K  0.0000  0.0000  0.0000
K  0.5000  0.5000  0.5000
Tc  0.0000  0.0000  0.7071
Tc  0.5000  0.5000  0.2071
Sb  0.0000  0.0000  0.2853
Sb  0.5000  0.5000  0.7853

KTcSbTe2 | PBE-GGA | relaxed

Calculated values
Total magnetic moment   0.25 μB/f.u.
Crystal system   tetragonal
Total energy   -2.346 eV per atom

Cell: 5.8165 5.8165 5.6444 Å, 90.00 90.00 90.00°
Element x y z (fractional)
K  0.0000  0.0000  0.0000
Tc  0.5000  0.5000  0.5000
Sb  0.0000  0.0000  0.5000
Te  0.0000  0.5000  0.0000
Te  0.5000  0.0000  0.0000

KTcSbTe2 | PBE-GGA | relaxed

Calculated values
Total magnetic moment   2.45 μB/f.u.
Crystal system   tetragonal
Total energy   -4.312 eV per atom

Cell: 5.5497 5.5497 5.1838 Å, 90.00 90.00 90.00°
Element x y z (fractional)
K  0.0000  0.0000  0.0000
Tc  0.5000  0.5000  0.5000
Sb  0.5000  0.5000  0.0000
Te  0.0000  0.5000  0.5000
Te  0.5000  0.0000  0.5000

KTcSb2Te | PBE-GGA | relaxed

Calculated values
Total magnetic moment   0.97 μB/f.u.
Crystal system   tetragonal
Total energy   -4.453 eV per atom

Cell: 5.1274 5.1274 6.0312 Å, 90.00 90.00 90.00°
Element x y z (fractional)
K  0.0000  0.0000  0.0000
Tc  0.5000  0.5000  0.5000
Sb  0.0000  0.5000  0.5000
Sb  0.5000  0.0000  0.5000
Te  0.5000  0.5000  0.0000

KTcSb2Te | PBE-GGA | relaxed

Calculated values
Total magnetic moment   0.31 μB/f.u.
Crystal system   tetragonal
Total energy   -2.409 eV per atom

Cell: 5.5876 5.5876 5.6968 Å, 90.00 90.00 90.00°
Element x y z (fractional)
K  0.0000  0.0000  0.0000
Tc  0.5000  0.5000  0.5000
Sb  0.0000  0.5000  0.0000
Sb  0.5000  0.0000  0.0000
Te  0.0000  0.0000  0.5000

KYTcSb2 | PBE-GGA | relaxed

Calculated values
Total magnetic moment   2.30 μB/f.u.
Crystal system   tetragonal
Total energy   -3.794 eV per atom

Cell: 5.6420 5.6420 4.7074 Å, 90.00 90.00 90.00°
Element x y z (fractional)
K  0.0000  0.0000  0.0000
Y  0.5000  0.5000  0.5000
Tc  0.0000  0.0000  0.5000
Sb  0.0000  0.5000  0.0000
Sb  0.5000  0.0000  0.0000

KSbTe3 | PBE-GGA | relaxed

Calculated values
Total magnetic moment   0.00 μB/f.u.
Crystal system   orthorhombic
Total energy   -3.231 eV per atom

Cell: 6.0948 7.6656 9.6519 Å, 90.00 90.00 90.00°
Element x y z (fractional)
K  0.0000  0.0249  0.0000
K  0.5000  0.9751  0.5000
Sb  0.0000  0.4761  0.5424
Sb  0.5000  0.5239  0.0424
Te  0.0000  0.1400  0.6427
Te  0.2491  0.6731  0.7641
Te  0.2509  0.3269  0.2641
Te  0.5000  0.8600  0.1427
Te  0.7491  0.3269  0.2641
Te  0.7509  0.6731  0.7641

K2Sb2Te5 | PBE-GGA | relaxed

Calculated values
Total magnetic moment   0.00 μB/f.u.
Crystal system   monoclinic
Total energy   -3.229 eV per atom

Cell: 8.2693 8.2693 9.3205 Å, 105.11 105.11 39.81°
Element x y z (fractional)
K  0.1037  0.1037  0.3462
K  0.8963  0.8963  0.6538
Sb  0.3278  0.3278  0.1159
Sb  0.6722  0.6722  0.8841
Te  0.1247  0.1247  0.9691
Te  0.3482  0.3482  0.4136
Te  0.5000  0.5000  0.0000
Te  0.6518  0.6518  0.5864
Te  0.8753  0.8753  0.0309

KSb2Te2 | PBE-GGA | relaxed

Calculated values
Total magnetic moment   0.00 μB/f.u.
Crystal system   tetragonal
Total energy   -3.272 eV per atom

Cell: 4.5517 4.5517 16.3401 Å, 90.00 90.00 90.00°
Element x y z (fractional)
K  0.0000  0.0000  0.0000
K  0.5000  0.5000  0.5000
Sb  0.0000  0.5000  0.2500
Sb  0.0000  0.5000  0.7500
Sb  0.5000  0.0000  0.2500
Sb  0.5000  0.0000  0.7500
Te  0.0000  0.0000  0.4084
Te  0.0000  0.0000  0.5916
Te  0.5000  0.5000  0.0916
Te  0.5000  0.5000  0.9084

K2SbTe3 | PBE-GGA | relaxed

Calculated values
Total magnetic moment   0.00 μB/f.u.
Crystal system   monoclinic
Total energy   -3.172 eV per atom

Cell: 8.4589 8.4589 7.8619 Å, 96.81 96.81 66.10°
Element x y z (fractional)
K  0.0104  0.6819  0.8324
K  0.3181  0.9896  0.6676
K  0.6819  0.0104  0.3324
K  0.9896  0.3181  0.1676
Sb  0.4231  0.5769  0.2500
Sb  0.5769  0.4231  0.7500
Te  0.1230  0.8770  0.2500
Te  0.3146  0.3867  0.4857
Te  0.3867  0.3146  0.9857
Te  0.6133  0.6854  0.0143
Te  0.6854  0.6133  0.5143
Te  0.8770  0.1230  0.7500